## K2GaSbS4 (PBE)

Data for a geometry-optimized K2GaSbS4 structure.

Calculated values
The theoretical density comes out at 2.65 Mg/m³. The value obtained for the size of the total moment is 0.00 μB per cell. The calculation puts the uncorrected formation energy at -0.79 eV per atom.

Unit cell a=9.276 b=8.370 c=6.418 alpha=90.00 beta=90.00 gamma=90.00
Space group Pmn2_1 (No. 31)
One atom of each set of equivalent atoms:
K: 0.239 0.163 0.000 [4 per cell]
Ga: 0.000 0.361 0.537 [2 per cell]
Sb: 0.000 0.682 0.024 [2 per cell]
S: 0.000 0.409 0.903 [2 per cell]
S: 0.000 0.622 0.402 [2 per cell]
S: 0.207 0.219 0.487 [4 per cell]



## CaAsPd5 (PBE)

Data for a geometry-optimized CaAsPd5 structure.

Calculated values
The theoretical density comes out at 8.78 Mg/m³. As for the formation energy: -10.3 kcal/mol of atoms. The value obtained for the size of the total moment is 0.00 μB per cell.

Unit cell a=4.070 b=4.070 c=7.387 alpha=90.00 beta=90.00 gamma=90.00
Space group P4/mmm (No. 123)
One atom of each set of equivalent atoms:
Ca: 0.000 0.000 0.000 [1 per cell]
As: 0.000 0.000 0.500 [1 per cell]
Pd: 0.000 0.500 0.297 [4 per cell]
Pd: 0.500 0.500 0.000 [1 per cell]



## Ce2VGe3Pt4 (PBE)

Data for a geometry-optimized Ce2VGe3Pt4 structure.

Calculated values
The theoretical density comes out at 11.67 Mg/m³. As for the formation energy: -19.2 kcal/mol of atoms. The value obtained for the size of the total moment is 0.77 μB per cell.

Unit cell a=4.257 b=4.257 c=10.436 alpha=90.00 beta=90.00 gamma=90.00
Space group P-4m2 (No. 115)
One atom of each set of equivalent atoms:
Ce: 0.000 0.500 0.248 [2 per cell]
V: 0.000 0.000 0.500 [1 per cell]
Ge: 0.000 0.500 0.865 [2 per cell]
Ge: 0.500 0.500 0.500 [1 per cell]
Pt: 0.000 0.000 0.000 [1 per cell]
Pt: 0.000 0.500 0.629 [2 per cell]
Pt: 0.500 0.500 0.000 [1 per cell]



## Tb4Sm5Y2 (PBE)

Data for a geometry-optimized Tb4Sm5Y2 structure.

Calculated values
The value obtained for the energy relative to the lowest polymorph listed for this composition is 0 kJ/mol of formula units. The theoretical density comes out at 7.11 Mg/m³. As for the formation energy: 3.3 kcal/mol of atoms. The value obtained for the size of the total moment is 0.00 μB per cell.

Unit cell a=24.025 b=3.490 c=8.798 alpha=90.00 beta=97.51 gamma=90.00
Space group C2/m (No. 12)
One atom of each set of equivalent atoms:
Tb: 0.046 0.000 0.362 [4 per cell]
Tb: 0.176 0.500 0.470 [4 per cell]
Sm: 0.000 0.500 0.000 [2 per cell]
Sm: 0.140 0.000 0.119 [4 per cell]
Sm: 0.232 0.000 0.821 [4 per cell]
Y: 0.092 0.000 0.735 [4 per cell]



## LiGeP2S (PBE)

Data for a geometry-optimized LiGeP2S structure.

Calculated values
The value obtained for the energy relative to the lowest polymorph listed for this composition is 0 kJ/mol of formula units. The theoretical density comes out at 2.61 Mg/m³. The value obtained for the size of the total moment is 1.01 μB per cell. The calculation puts the uncorrected formation energy at 0.54 eV per atom.

Unit cell a=4.742 b=4.742 c=4.907 alpha=90.00 beta=90.00 gamma=90.00
Space group P4/mmm (No. 123)
One atom of each set of equivalent atoms:
Li: 0.000 0.000 0.000 [1 per cell]
Ge: 0.500 0.500 0.500 [1 per cell]
P: 0.000 0.500 0.500 [2 per cell]
S: 0.500 0.500 0.000 [1 per cell]



## Mg2PIr (PBE)

Data for a geometry-optimized Mg2PIr structure.

Calculated values
The theoretical density comes out at 6.44 Mg/m³. As for the formation energy: -5.6 kcal/mol of atoms. The value obtained for the size of the total moment is 0.00 μB per cell.

Unit cell a=3.044 b=3.044 c=7.558 alpha=90.00 beta=90.00 gamma=90.00
Space group P4mm (No. 99)
One atom of each set of equivalent atoms:
Mg: 0.000 0.000 0.000 [1 per cell]
Mg: 0.500 0.500 0.324 [1 per cell]
P: 0.000 0.000 0.585 [1 per cell]
Ir: 0.500 0.500 0.738 [1 per cell]



## Dy2GaCo2 (PBE)

Data for a geometry-optimized Dy2GaCo2 structure.

Calculated values
The theoretical density comes out at 9.33 Mg/m³. As for the formation energy: -9.6 kcal/mol of atoms. The value obtained for the size of the total moment is 0.00 μB per cell.

Unit cell a=4.051 b=5.424 c=8.303 alpha=90.00 beta=90.00 gamma=90.00
Space group Immm (No. 71)
One atom of each set of equivalent atoms:
Dy: 0.000 0.000 0.205 [4 per cell]
Ga: 0.000 0.500 0.000 [2 per cell]
Co: 0.000 0.283 0.500 [4 per cell]



## Rb2GaSe2 (PBE)

Data for a geometry-optimized Rb2GaSe2 structure.

Calculated values
The value obtained for the energy relative to the lowest polymorph listed for this composition is 283 kJ/mol of formula units. The theoretical density comes out at 3.22 Mg/m³. The value obtained for the size of the total moment is 2.00 μB per cell. The calculation puts the uncorrected formation energy at -0.18 eV per atom.

Unit cell a=6.182 b=6.182 c=10.748 alpha=90.00 beta=90.00 gamma=90.00
Space group I4/mmm (No. 139)
One atom of each set of equivalent atoms:
Rb: 0.000 0.000 0.155 [4 per cell]
Ga: 0.000 0.000 0.500 [2 per cell]
Se: 0.000 0.500 0.250 [4 per cell]



## LaAg2Sn (PBE)

Data for a geometry-optimized LaAg2Sn structure.

Calculated values
The theoretical density comes out at 7.89 Mg/m³. As for the formation energy: -6.1 kcal/mol of atoms. The value obtained for the size of the total moment is 0.00 μB per cell.

Unit cell a=4.727 b=4.727 c=4.456 alpha=90.00 beta=90.00 gamma=90.00
Space group P4/mmm (No. 123)
One atom of each set of equivalent atoms:
La: 0.000 0.000 0.000 [1 per cell]
Ag: 0.000 0.500 0.500 [2 per cell]
Sn: 0.500 0.500 0.000 [1 per cell]



## GdYCdRu (PBE)

Data for a geometry-optimized GdYCdRu structure.

Calculated values
The theoretical density comes out at 8.31 Mg/m³. As for the formation energy: -6.2 kcal/mol of atoms. The value obtained for the size of the total moment is 28.35 μB per cell.

Unit cell a=7.163 b=7.163 c=7.163 alpha=90.00 beta=90.00 gamma=90.00
Space group F-43m (No. 216)
One atom of each set of equivalent atoms:
Gd: 0.000 0.000 0.000 [4 per cell]
Y: 0.000 0.000 0.500 [4 per cell]
Cd: 0.250 0.250 0.750 [4 per cell]
Ru: 0.250 0.250 0.250 [4 per cell]



## Ta2PtPb (PBE)

Data for a geometry-optimized Ta2PtPb structure.

Calculated values
The theoretical density comes out at 16.30 Mg/m³. As for the formation energy: 4.7 kcal/mol of atoms. The value obtained for the size of the total moment is 0.00 μB per cell.

Unit cell a=3.573 b=3.573 c=6.097 alpha=90.00 beta=90.00 gamma=90.00
Space group P4/mmm (No. 123)
One atom of each set of equivalent atoms:
Ta: 0.000 0.000 0.212 [2 per cell]
Pt: 0.500 0.500 0.000 [1 per cell]
Pb: 0.500 0.500 0.500 [1 per cell]



## K2YRhO4 (PBE)

Data for a geometry-optimized K2YRhO4 structure.

Calculated values
The theoretical density comes out at 4.74 Mg/m³. The value obtained for the size of the total moment is 0.00 μB per cell. The calculation puts the uncorrected formation energy at -1.83 eV per atom.

Unit cell a=5.601 b=3.384 c=6.498 alpha=90.00 beta=108.11 gamma=90.00
Space group P2/m (No. 10)
One atom of each set of equivalent atoms:
K: 0.000 0.000 0.000 [1 per cell]
K: 0.500 0.500 0.000 [1 per cell]
Y: 0.000 0.500 0.500 [1 per cell]
Rh: 0.500 0.000 0.500 [1 per cell]
O: 0.241 0.000 0.692 [2 per cell]
O: 0.295 0.500 0.320 [2 per cell]



## NaNi2BPd (PBE)

Data for a geometry-optimized NaNi2BPd structure.

Calculated values
The theoretical density comes out at 6.83 Mg/m³. As for the formation energy: -0.8 kcal/mol of atoms. The value obtained for the size of the total moment is 0.00 μB per cell.

Unit cell a=3.879 b=3.879 c=4.162 alpha=90.00 beta=90.00 gamma=90.00
Space group P4/mmm (No. 123)
One atom of each set of equivalent atoms:
Na: 0.000 0.000 0.000 [1 per cell]
Ni: 0.000 0.500 0.500 [2 per cell]
B: 0.500 0.500 0.500 [1 per cell]
Pd: 0.500 0.500 0.000 [1 per cell]



## LaPbCl2 (PBE)

Data for a geometry-optimized LaPbCl2 structure.

Calculated values
The value obtained for the energy relative to the lowest polymorph listed for this composition is 228 kJ/mol of formula units. The theoretical density comes out at 6.01 Mg/m³. The value obtained for the size of the total moment is 10.71 μB per cell. The calculation puts the uncorrected formation energy at -0.77 eV per atom.

Unit cell a=7.725 b=7.725 c=7.725 alpha=90.00 beta=90.00 gamma=90.00
Space group F-43m (No. 216)
One atom of each set of equivalent atoms:
La: 0.000 0.000 0.000 [4 per cell]
Pb: 0.250 0.250 0.250 [4 per cell]
Cl: 0.000 0.000 0.500 [4 per cell]
Cl: 0.250 0.250 0.750 [4 per cell]



## AlHgCl (PBE)

Data for a geometry-optimized AlHgCl structure.

Calculated values
The value obtained for the energy relative to the lowest polymorph listed for this composition is 0 kJ/mol of formula units. The theoretical density comes out at 5.64 Mg/m³. The value obtained for the size of the total moment is 0.00 μB per cell. The calculation puts the uncorrected formation energy at -0.29 eV per atom.

Unit cell a=3.284 b=5.811 c=16.234 alpha=90.00 beta=90.00 gamma=90.00
Space group Fmm2 (No. 42)
One atom of each set of equivalent atoms:
Al: 0.000 0.000 0.000 [4 per cell]
Hg: 0.000 0.000 0.665 [4 per cell]
Cl: 0.000 0.000 0.392 [4 per cell]



## NaPa2CuS5 (PBE)

Data for a geometry-optimized NaPa2CuS5 structure.

Calculated values
The theoretical density comes out at 6.09 Mg/m³. The value obtained for the size of the total moment is 7.48 μB per cell. The calculation puts the uncorrected formation energy at -1.32 eV per atom.

Unit cell a=7.603 b=7.603 c=13.377 alpha=90.00 beta=90.00 gamma=90.00
Space group I4/mcm (No. 140)
One atom of each set of equivalent atoms:
Na: 0.000 0.000 0.250 [4 per cell]
Pa: 0.159 0.341 0.000 [8 per cell]
Cu: 0.000 0.500 0.250 [4 per cell]
S: 0.000 0.000 0.000 [4 per cell]
S: 0.148 0.352 0.372 [16 per cell]



## Tb2PaReC4 (PBE)

Data for a geometry-optimized Tb2PaReC4 structure.

Calculated values
The theoretical density comes out at 10.31 Mg/m³. As for the formation energy: -0.8 kcal/mol of atoms. The value obtained for the size of the total moment is 0.00 μB per cell.

Unit cell a=3.456 b=11.869 c=12.299 alpha=90.00 beta=90.00 gamma=90.00
Space group Cmcm (No. 63)
One atom of each set of equivalent atoms:
Tb: 0.000 0.131 0.040 [8 per cell]
Pa: 0.000 0.405 0.250 [4 per cell]
Re: 0.000 0.336 0.750 [4 per cell]
C: 0.000 0.063 0.250 [4 per cell]
C: 0.000 0.228 0.635 [8 per cell]
C: 0.000 0.500 0.000 [4 per cell]



## GdThZnSn (PBE)

Data for a geometry-optimized GdThZnSn structure.

Calculated values
The theoretical density comes out at 8.98 Mg/m³. As for the formation energy: -8.6 kcal/mol of atoms. The value obtained for the size of the total moment is 29.19 μB per cell.

Unit cell a=7.513 b=7.513 c=7.513 alpha=90.00 beta=90.00 gamma=90.00
Space group F-43m (No. 216)
One atom of each set of equivalent atoms:
Gd: 0.000 0.000 0.000 [4 per cell]
Th: 0.000 0.000 0.500 [4 per cell]
Zn: 0.250 0.250 0.250 [4 per cell]
Sn: 0.250 0.250 0.750 [4 per cell]



## Li2Ac3RhO9 (PBE)

Data for a geometry-optimized Li2Ac3RhO9 structure.

Calculated values
The theoretical density comes out at 8.33 Mg/m³. The value obtained for the size of the total moment is 4.08 μB per cell. The calculation puts the uncorrected formation energy at -2.19 eV per atom.

Unit cell a=5.5641 b=5.5641 c=7.0042 alpha=90.00 beta=90.00 gamma=120.00
Space group P-3m1 (No. 164)
One atom of each set of equivalent atoms:
Li: 0.3333 0.6667 0.1769 [2 per cell]
Ac: 0.0000 0.0000 0.0000 [1 per cell]
Ac: 0.3333 0.6667 0.6941 [2 per cell]
Rh: 0.0000 0.0000 0.5000 [1 per cell]
O: 0.0000 0.5000 0.0000 [3 per cell]
O: 0.1632 0.3264 0.3368 [6 per cell]



## Cr2SbOs (PBE)

Data for a geometry-optimized Cr2SbOs structure.

Calculated values
The theoretical density comes out at 11.26 Mg/m³. The value obtained for the size of the total moment is 5.20 μB per cell. The calculation puts the uncorrected formation energy at 0.39 eV per atom.

Unit cell a=3.962 b=3.962 c=3.906 alpha=90.00 beta=90.00 gamma=90.00
Space group P4/mmm (No. 123)
One atom of each set of equivalent atoms:
Cr: 0.000 0.500 0.000 [2 per cell]
Sb: 0.000 0.000 0.500 [1 per cell]
Os: 0.500 0.500 0.500 [1 per cell]



no.,V (A^3/atom),raw total energy (eV/atom)
1,31.1,-4.019
2,17.5,-5.107
3,18.9,-6.732
4,33.2,-4.860
5,22.1,-3.751
6,17.5,-4.609
7,18.2,-5.703
8,41.1,-2.565
9,24.9,-3.923
10,23.0,-7.953
11,19.5,-8.158
12,14.6,-6.313
13,12.5,-4.984
14,28.8,-3.849
15,25.8,-2.253
16,21.5,-6.323
17,15.8,-8.549
18,26.5,-7.068
19,12.5,-6.729
20,15.3,-8.257